# 1
## Pr5SmBi4 (PBE)

Data for crystalline Pr5SmBi4 at its relaxed geometry.

Cell: 10.1104 10.1104 8.8837 Å, 105.36 105.36 25.95°
Element x y z (fractional)
Pr 0.0000 0.0000 0.0000
Pr 0.3233 0.3233 0.1490
Pr 0.3368 0.3368 0.6761
Pr 0.6632 0.6632 0.3239
Pr 0.6767 0.6767 0.8510
Sm 0.0000 0.0000 0.5000
Bi 0.1684 0.1684 0.5875
Bi 0.4922 0.4922 0.2466
Bi 0.5078 0.5078 0.7534
Bi 0.8316 0.8316 0.4125

Properties
calculated volume	38.23	A^3/atom
ΔH_f (0 K)	-0.579	eV/atom
symmetry	C2/m (12)

# 2
## LiHf2Cu (PBE)

Data for crystalline LiHf2Cu at its relaxed geometry.

Cell: 4.6139 4.6139 4.6139 Å, 60.00 60.00 60.00°
Element x y z (fractional)
Li 0.0000 0.0000 0.0000
Hf 0.2500 0.2500 0.2500
Hf 0.7500 0.7500 0.7500
Cu 0.5000 0.5000 0.5000

Properties
calculated volume	17.36	A^3/atom
ΔH_f (0 K)	0.150	eV/atom
symmetry	Fm-3m (225)

# 3
## LaHgTe2N (PBE)

Data for crystalline LaHgTe2N at its relaxed geometry.

Cell: 6.5975 6.5975 4.0078 Å, 90.00 90.00 90.00°
Element x y z (fractional)
La 0.0000 0.0000 0.0000
Hg 0.5000 0.5000 0.5000
Te 0.0000 0.5000 0.0000
Te 0.5000 0.0000 0.0000
N 0.0000 0.0000 0.5000

Properties
energy relative to the elements, uncorrected	0.192	eV per atom
calculated volume	34.89	A^3/atom
symmetry	P4/mmm (123)

# 4
## Pr2PuO6 (PBE)

Data for crystalline Pr2PuO6 at its relaxed geometry.

Cell: 6.6526 6.6526 6.6526 Å, 145.23 130.71 61.73°
Element x y z (fractional)
Pr 0.1638 0.1638 0.0000
Pr 0.8362 0.8362 0.0000
Pu 0.5000 0.5000 0.0000
O 0.1138 0.3496 0.7641
O 0.2792 0.0000 0.2792
O 0.4145 0.6504 0.7641
O 0.5855 0.3496 0.2359
O 0.7208 0.0000 0.7208
O 0.8862 0.6504 0.2359

Properties
energy relative to the elements, uncorrected	-3.004	eV per atom
calculated volume	14.00	A^3/atom
symmetry	Immm (71)

# 5
## SrTb2CuSe4 (PBE)

Data for crystalline SrTb2CuSe4 at its relaxed geometry.

Cell: 7.1698 7.1698 14.2628 Å, 90.00 90.00 146.81°
Element x y z (fractional)
Sr 0.1194 0.8806 0.7500
Sr 0.8806 0.1194 0.2500
Tb 0.3712 0.6288 0.5607
Tb 0.3712 0.6288 0.9393
Tb 0.6288 0.3712 0.0607
Tb 0.6288 0.3712 0.4393
Cu 0.1518 0.8482 0.2500
Cu 0.8482 0.1518 0.7500
Se 0.0000 0.0000 0.0000
Se 0.0000 0.0000 0.5000
Se 0.2723 0.7277 0.1193
Se 0.2723 0.7277 0.3807
Se 0.4467 0.5533 0.7500
Se 0.5533 0.4467 0.2500
Se 0.7277 0.2723 0.6193
Se 0.7277 0.2723 0.8807

Properties
energy relative to the elements, uncorrected	-1.586	eV per atom
calculated volume	25.08	A^3/atom
symmetry	Cmcm (63)

# 6
## Cs3RhBr8 (PBE)

Data for crystalline Cs3RhBr8 at its relaxed geometry.

Cell: 9.3968 9.3968 9.3968 Å, 128.90 128.90 75.17°
Element x y z (fractional)
Cs 0.0000 0.0000 0.0000
Cs 0.2500 0.7500 0.5000
Cs 0.7500 0.2500 0.5000
Rh 0.5000 0.5000 0.0000
Br 0.1953 0.1953 0.6039
Br 0.1953 0.5914 0.0000
Br 0.4086 0.4086 0.6039
Br 0.4086 0.8047 0.0000
Br 0.5914 0.1953 0.0000
Br 0.5914 0.5914 0.3961
Br 0.8047 0.4086 0.0000
Br 0.8047 0.8047 0.3961

Properties
energy relative to the elements, uncorrected	-0.702	eV per atom
calculated volume	40.77	A^3/atom
symmetry	I4/mmm (139)

# 7
## NaLaIn2Cl6 (PBE)

Data for crystalline NaLaIn2Cl6 at its relaxed geometry.

Cell: 7.7976 7.7976 7.7976 Å, 59.19 59.19 59.19°
Element x y z (fractional)
Na 0.0000 0.0000 0.0000
La 0.4954 0.4954 0.4954
In 0.2803 0.2803 0.2803
In 0.7854 0.7854 0.7854
Cl 0.1544 0.7108 0.3433
Cl 0.2226 0.6574 0.8266
Cl 0.3433 0.1544 0.7108
Cl 0.6574 0.8266 0.2226
Cl 0.7108 0.3433 0.1544
Cl 0.8266 0.2226 0.6574

Properties
energy relative to the elements, uncorrected	-1.642	eV per atom
calculated volume	32.91	A^3/atom
symmetry	R3 (146)

# 8
## Sc4Cr5 (PBE)

Data for crystalline Sc4Cr5 at its relaxed geometry.

Cell: 7.1107 7.1107 7.1107 Å, 92.98 92.98 153.63°
Element x y z (fractional)
Sc 0.0000 0.3074 0.3074
Sc 0.0000 0.6926 0.6926
Sc 0.3074 0.0000 0.3074
Sc 0.6926 0.0000 0.6926
Cr 0.0000 0.0000 0.0000
Cr 0.3462 0.3462 0.6925
Cr 0.3462 0.6538 0.0000
Cr 0.6538 0.3462 0.0000
Cr 0.6538 0.6538 0.3075

Properties
calculated volume	17.28	A^3/atom
ΔH_f (0 K)	0.406	eV/atom
symmetry	I4/mmm (139)

# 9
## Nd2Cu3Si (PBE)

Data for crystalline Nd2Cu3Si at its relaxed geometry.

Cell: 8.4852 8.3044 5.7740 Å, 71.58 68.21 40.21°
Element x y z (fractional)
Nd 0.2382 0.7618 0.7618
Nd 0.2500 0.2500 0.2500
Nd 0.7500 0.7500 0.7500
Nd 0.7618 0.2382 0.2382
Cu 0.1707 0.1707 0.8293
Cu 0.1710 0.6591 0.3409
Cu 0.3409 0.8290 0.1710
Cu 0.6591 0.1710 0.8290
Cu 0.8290 0.3409 0.6591
Cu 0.8293 0.8293 0.1707
Si 0.3357 0.3357 0.6643
Si 0.6643 0.6643 0.3357

Properties
energy relative to the elements, uncorrected	-0.378	eV per atom
calculated volume	20.30	A^3/atom
symmetry	Fmmm (69)

# 10
## SiMoSe2 (PBE)

Data for crystalline SiMoSe2 at its relaxed geometry.

Cell: 2.9547 2.9547 9.4943 Å, 90.00 90.00 115.39°
Element x y z (fractional)
Si 0.0000 0.0000 0.0000
Mo 0.0000 0.0000 0.5000
Se 0.5000 0.5000 0.2836
Se 0.5000 0.5000 0.7164

Properties
energy relative to the elements, uncorrected	0.506	eV per atom
calculated volume	18.72	A^3/atom
symmetry	Cmmm (65)

# 11
## KIn2Ru (PBE)

Data for crystalline KIn2Ru at its relaxed geometry.

Cell: 5.5385 5.5385 3.1061 Å, 90.24 90.24 106.56°
Element x y z (fractional)
K 0.0000 0.0000 0.0000
In 0.0000 0.5000 0.5000
In 0.5000 0.0000 0.5000
Ru 0.5000 0.5000 0.0000

Properties
calculated volume	22.83	A^3/atom
ΔH_f (0 K)	0.626	eV/atom
symmetry	C2/m (12)

# 12
## Ag3Ge5Cl12 (PBE)

Data for crystalline Ag3Ge5Cl12 at its relaxed geometry.

Cell: 14.2247 14.2247 14.2247 Å, 109.47 109.47 109.47°
Element x y z (fractional)
Ag 0.1250 0.2500 0.3750
Ag 0.1250 0.3750 0.7500
Ag 0.2500 0.3750 0.1250
Ag 0.2500 0.8750 0.6250
Ag 0.3750 0.1250 0.2500
Ag 0.3750 0.7500 0.1250
Ag 0.6250 0.2500 0.8750
Ag 0.6250 0.8750 0.7500
Ag 0.7500 0.1250 0.3750
Ag 0.7500 0.6250 0.8750
Ag 0.8750 0.6250 0.2500
Ag 0.8750 0.7500 0.6250
Ge 0.0000 0.0000 0.0000
Ge 0.0000 0.0000 0.5000
Ge 0.0000 0.5000 0.0000
Ge 0.0000 0.5000 0.5000
Ge 0.1250 0.7500 0.8750
Ge 0.1250 0.8750 0.2500
Ge 0.2500 0.1250 0.8750
Ge 0.2500 0.6250 0.3750
Ge 0.3750 0.2500 0.6250
Ge 0.3750 0.6250 0.7500
Ge 0.5000 0.0000 0.0000
Ge 0.5000 0.0000 0.5000
Ge 0.5000 0.5000 0.0000
Ge 0.5000 0.5000 0.5000
Ge 0.6250 0.3750 0.2500
Ge 0.6250 0.7500 0.3750
Ge 0.7500 0.3750 0.6250
Ge 0.7500 0.8750 0.1250
Ge 0.8750 0.1250 0.7500
Ge 0.8750 0.2500 0.1250
Cl 0.0404 0.2159 0.1184
Cl 0.0404 0.3244 0.9220
Cl 0.0780 0.6184 0.4025
Cl 0.0780 0.9596 0.6756
Cl 0.0975 0.7159 0.6756
Cl 0.0975 0.8816 0.4220
Cl 0.1184 0.0404 0.2159
Cl 0.1184 0.5780 0.9025
Cl 0.1756 0.2159 0.5975
Cl 0.1756 0.4596 0.5780
Cl 0.2159 0.1184 0.0404
Cl 0.2159 0.5975 0.1756
Cl 0.2841 0.3244 0.9025
Cl 0.2841 0.4596 0.3816
Cl 0.3244 0.9025 0.2841
Cl 0.3244 0.9220 0.0404
Cl 0.3816 0.2841 0.4596
Cl 0.3816 0.5975 0.9220
Cl 0.4025 0.0780 0.6184
Cl 0.4025 0.8244 0.7841
Cl 0.4220 0.0975 0.8816
Cl 0.4220 0.8244 0.5404
Cl 0.4596 0.3816 0.2841
Cl 0.4596 0.5780 0.1756
Cl 0.5404 0.4220 0.8244
Cl 0.5404 0.6184 0.7159
Cl 0.5780 0.1756 0.4596
Cl 0.5780 0.9025 0.1184
Cl 0.5975 0.1756 0.2159
Cl 0.5975 0.9220 0.3816
Cl 0.6184 0.4025 0.0780
Cl 0.6184 0.7159 0.5404
Cl 0.6756 0.0780 0.9596
Cl 0.6756 0.0975 0.7159
Cl 0.7159 0.5404 0.6184
Cl 0.7159 0.6756 0.0975
Cl 0.7841 0.4025 0.8244
Cl 0.7841 0.8816 0.9596
Cl 0.8244 0.5404 0.4220
Cl 0.8244 0.7841 0.4025
Cl 0.8816 0.4220 0.0975
Cl 0.8816 0.9596 0.7841
Cl 0.9025 0.1184 0.5780
Cl 0.9025 0.2841 0.3244
Cl 0.9220 0.0404 0.3244
Cl 0.9220 0.3816 0.5975
Cl 0.9596 0.6756 0.0780
Cl 0.9596 0.7841 0.8816

Properties
energy relative to the elements, uncorrected	-0.447	eV per atom
calculated volume	27.70	A^3/atom
symmetry	Ia-3d (230)

# 13
## Ba2CrBr (PBE)

Data for crystalline Ba2CrBr at its relaxed geometry.

Cell: 6.9628 6.9628 5.4817 Å, 90.03 90.03 35.48°
Element x y z (fractional)
Ba 0.0000 0.0000 0.0000
Ba 0.7369 0.7369 0.5009
Cr 0.2599 0.2599 0.0012
Br 0.4780 0.4780 0.5001

Properties
energy relative to the elements, uncorrected	-0.262	eV per atom
calculated volume	38.57	A^3/atom
symmetry	Cm (8)

# 14
## La2PmHo6Tm3 (PBE)

Data for crystalline La2PmHo6Tm3 at its relaxed geometry.

Cell: 6.1782 6.1782 11.7891 Å, 95.01 95.01 119.98°
Element x y z (fractional)
La 0.1668 0.8332 0.0000
La 0.8332 0.1668 0.0000
Pm 0.5000 0.5000 0.0000
Ho 0.0812 0.4139 0.7436
Ho 0.2535 0.2535 0.2564
Ho 0.4139 0.0812 0.7436
Ho 0.5861 0.9188 0.2564
Ho 0.7465 0.7465 0.7436
Ho 0.9188 0.5861 0.2564
Tm 0.0000 0.0000 0.5000
Tm 0.3334 0.6666 0.5000
Tm 0.6666 0.3334 0.5000

Properties
calculated volume	31.98	A^3/atom
ΔH_f (0 K)	0.027	eV/atom
symmetry	C2/m (12)

# 15
## Zr2Ti2Hg (PBE)

Data for crystalline Zr2Ti2Hg at its relaxed geometry.

Cell: 7.0344 7.0344 7.0344 Å, 146.20 146.20 48.55°
Element x y z (fractional)
Zr 0.2500 0.7500 0.5000
Zr 0.7500 0.2500 0.5000
Ti 0.0819 0.0819 0.0000
Ti 0.9181 0.9181 0.0000
Hg 0.5000 0.5000 0.0000

Properties
calculated volume	21.45	A^3/atom
ΔH_f (0 K)	0.512	eV/atom
symmetry	I4/mmm (139)

# 16
## PrSbAu2 (PBE)

Data for crystalline PrSbAu2 at its relaxed geometry.

Cell: 4.7798 6.4990 6.2229 Å, 90.00 90.00 90.00°
Element x y z (fractional)
Pr 0.2500 0.2500 0.1097
Pr 0.7500 0.7500 0.8903
Sb 0.2500 0.7500 0.2728
Sb 0.7500 0.2500 0.7272
Au 0.2500 0.5174 0.6714
Au 0.2500 0.9826 0.6714
Au 0.7500 0.0174 0.3286
Au 0.7500 0.4826 0.3286

Properties
energy relative to the elements, uncorrected	-0.657	eV per atom
calculated volume	24.16	A^3/atom
symmetry	Pmmn (59)

# 17
## LiTaOs2 (PBE)

Data for crystalline LiTaOs2 at its relaxed geometry.

Cell: 3.1502 3.1502 5.8041 Å, 90.00 90.00 90.00°
Element x y z (fractional)
Li 0.0000 0.0000 0.0000
Ta 0.0000 0.0000 0.5000
Os 0.5000 0.5000 0.2303
Os 0.5000 0.5000 0.7697

Properties
calculated volume	14.40	A^3/atom
ΔH_f (0 K)	-0.012	eV/atom
symmetry	P4/mmm (123)

# 18
## CsUAs2O8 (PBE)

Data for crystalline CsUAs2O8 at its relaxed geometry.

Cell: 5.7490 5.7490 9.0865 Å, 90.00 90.00 120.00°
Element x y z (fractional)
Cs 0.0000 0.0000 0.0000
U 0.0000 0.0000 0.5000
As 0.3333 0.6667 0.2840
As 0.6667 0.3333 0.7160
O 0.1730 0.3461 0.3606
O 0.1730 0.8270 0.3606
O 0.3333 0.6667 0.1014
O 0.3461 0.1730 0.6394
O 0.6540 0.8270 0.3606
O 0.6667 0.3333 0.8986
O 0.8270 0.1730 0.6394
O 0.8270 0.6540 0.6394

Properties
energy relative to the elements, uncorrected	-1.950	eV per atom
calculated volume	21.67	A^3/atom
symmetry	P-3m1 (164)

# 19
## K2CaTc (PBE)

Data for crystalline K2CaTc at its relaxed geometry.

Cell: 7.9726 7.9726 7.9726 Å, 154.83 131.45 55.46°
Element x y z (fractional)
K 0.0000 0.0000 0.0000
K 0.6927 0.1927 0.5000
Ca 0.3706 0.3706 0.0000
Tc 0.2098 0.7098 0.5000

Properties
calculated volume	40.18	A^3/atom
ΔH_f (0 K)	0.990	eV/atom
symmetry	Imm2 (44)

# 20
## CsY2Tc (PBE)

Data for crystalline CsY2Tc at its relaxed geometry.

Cell: 5.3447 5.3447 5.3447 Å, 60.00 60.00 60.00°
Element x y z (fractional)
Cs 0.0000 0.0000 0.0000
Y 0.2500 0.2500 0.2500
Y 0.7500 0.7500 0.7500
Tc 0.5000 0.5000 0.5000

Properties
calculated volume	26.99	A^3/atom
ΔH_f (0 K)	0.860	eV/atom
symmetry	Fm-3m (225)